(1)
NiAs2W | PBE-GGA | relaxed

Cell and atoms, written as POSCAR:
```
NiAs2W
1.0
3.1786 0.0000 0.0000
0.0000 3.1786 0.0000
0.0000 0.0000 5.8319
Ni As W
1 2 1
Direct
0.0000 0.0000 0.0000 Ni
0.5000 0.5000 0.2457 As
0.5000 0.5000 0.7543 As
0.0000 0.0000 0.5000 W
```

Output
Its energy above the most stable polymorph in this dataset is 0.42 eV per formula unit. The space group is P4/mmm, No. 123. As for the energy relative to the elements: 0.1427 eV/atom. The value obtained for the total magnetization is 0.0 μB per cell. As for the energy: -27.46 eV for the cell shown.

=====

(2)
SbPd9Pt4 | PBE-GGA | relaxed

Cell and atoms, written as POSCAR:
```
SbPd9Pt4
1.0
7.8935 0.0000 0.0000
-3.9467 6.8360 0.0000
0.0000 0.0000 8.6475
Sb Pd Pt
2 18 8
Direct
0.3333 0.6667 0.2500 Sb
0.6667 0.3333 0.7500 Sb
0.0704 0.5352 0.7500 Pd
0.2072 0.4144 0.0284 Pd
0.2072 0.4144 0.4716 Pd
0.2072 0.7928 0.0284 Pd
0.2072 0.7928 0.4716 Pd
0.4144 0.2072 0.5284 Pd
0.4144 0.2072 0.9716 Pd
0.4648 0.5352 0.7500 Pd
0.4648 0.9296 0.7500 Pd
0.5352 0.0704 0.2500 Pd
0.5352 0.4648 0.2500 Pd
0.5856 0.7928 0.0284 Pd
0.5856 0.7928 0.4716 Pd
0.7928 0.2072 0.5284 Pd
0.7928 0.2072 0.9716 Pd
0.7928 0.5856 0.5284 Pd
0.7928 0.5856 0.9716 Pd
0.9296 0.4648 0.2500 Pd
0.0000 0.0000 0.0000 Pt
0.0000 0.0000 0.5000 Pt
0.1136 0.2273 0.7500 Pt
0.1136 0.8864 0.7500 Pt
0.2273 0.1136 0.2500 Pt
0.7727 0.8864 0.7500 Pt
0.8864 0.1136 0.2500 Pt
0.8864 0.7727 0.2500 Pt
```

Output
As for the uncorrected formation energy: -0.04 eV/atom. The space group is P6_3/mmc, No. 194. The value obtained for the total magnetization is 0.0 μB per cell. As for the energy: -151.18 eV for the cell shown.

=====

(3)
CoAuSe2 | PBE-GGA | relaxed

Cell and atoms, written as POSCAR:
```
CoAuSe2
1.0
5.1936 0.0000 0.0000
0.0000 5.1936 0.0000
0.0000 0.0000 5.6844
Co Au Se
2 2 4
Direct
0.0000 0.0000 0.0000 Co
0.5000 0.5000 0.5000 Co
0.0000 0.0000 0.5000 Au
0.5000 0.5000 0.0000 Au
0.0000 0.5000 0.0000 Se
0.0000 0.5000 0.5000 Se
0.5000 0.0000 0.0000 Se
0.5000 0.0000 0.5000 Se
```

Output
As for the uncorrected formation energy: 0.31 eV/atom. The space group is I4/mmm, No. 139. The value obtained for the total magnetization is 3.6 μB per cell. As for the energy: -32.26 eV for the cell shown.

=====

(4)
CeFeTcGe2 | PBE-GGA | relaxed

Cell and atoms, written as POSCAR:
```
CeFeTcGe2
1.0
4.0917 0.0000 0.0000
0.0000 4.0917 0.0000
0.0000 0.0000 10.6814
Ce Fe Tc Ge
2 2 2 4
Direct
0.0000 0.0000 0.0000 Ce
0.5000 0.5000 0.5000 Ce
0.0000 0.5000 0.2500 Fe
0.5000 0.0000 0.7500 Fe
0.0000 0.5000 0.7500 Tc
0.5000 0.0000 0.2500 Tc
0.0000 0.0000 0.3775 Ge
0.0000 0.0000 0.6225 Ge
0.5000 0.5000 0.1225 Ge
0.5000 0.5000 0.8775 Ge
```

Output
The space group is I-4m2, No. 119. As for the energy relative to the elements: -0.4190 eV/atom. The value obtained for the total magnetization is 5.2 μB per cell. As for the energy: -72.18 eV for the cell shown.

=====

(5)
ZnIN2Cl | PBE-GGA | relaxed

Cell and atoms, written as POSCAR:
```
ZnIN2Cl
1.0
4.1309 0.0000 0.0000
0.0000 4.1309 0.0000
0.0000 0.0000 6.4389
Zn I N Cl
1 1 2 1
Direct
0.0000 0.0000 0.0000 Zn
0.0000 0.0000 0.5000 I
0.0000 0.5000 0.0000 N
0.5000 0.0000 0.0000 N
0.5000 0.5000 0.5000 Cl
```

Output
Its energy above the most stable polymorph in this dataset is 0.00 eV per formula unit. As for the uncorrected formation energy: 1.48 eV/atom. The space group is P4/mmm, No. 123. The value obtained for the total magnetization is 4.1 μB per cell. As for the energy: -13.94 eV for the cell shown.

=====

(6)
TlBiSe2N | PBE-GGA | relaxed

Cell and atoms, written as POSCAR:
```
TlBiSe2N
1.0
5.4950 0.0000 0.0000
0.0000 5.4950 0.0000
0.0000 0.0000 4.1410
Tl Bi Se N
1 1 2 1
Direct
0.0000 0.0000 0.0000 Tl
0.5000 0.5000 0.5000 Bi
0.0000 0.5000 0.0000 Se
0.5000 0.0000 0.0000 Se
0.0000 0.0000 0.5000 N
```

Output
Its energy above the most stable polymorph in this dataset is 1.74 eV per formula unit. As for the uncorrected formation energy: 1.01 eV/atom. The space group is P4/mmm, No. 123. The value obtained for the total magnetization is 0.0 μB per cell. As for the energy: -16.47 eV for the cell shown.

=====

(7)
Na3Pb2Se4 | PBE-GGA | relaxed

Cell and atoms, written as POSCAR:
```
Na3Pb2Se4
1.0
8.3257 -2.2307 0.0000
8.3257 2.2307 0.0000
-1.3150 0.0000 6.7801
Na Pb Se
3 2 4
Direct
0.0000 0.0000 0.0000 Na
0.1140 0.1140 0.5300 Na
0.8860 0.8860 0.4700 Na
0.3381 0.3381 0.9321 Pb
0.6619 0.6619 0.0679 Pb
0.2516 0.2516 0.2772 Se
0.4968 0.4968 0.7135 Se
0.5032 0.5032 0.2865 Se
0.7484 0.7484 0.7228 Se
```

Output
As for the uncorrected formation energy: -0.66 eV/atom. The space group is C2/m, No. 12. The value obtained for the total magnetization is 0.0 μB per cell. As for the energy: -31.28 eV for the cell shown.

=====

(8)
Cu2Ni6Rh | PBE-GGA | relaxed

Cell and atoms, written as POSCAR:
```
Cu2Ni6Rh
1.0
3.6302 -2.4850 0.0000
3.6302 2.4850 0.0000
-2.0756 0.0000 5.9771
Cu Ni Rh
2 6 1
Direct
0.1687 0.1687 0.0858 Cu
0.8313 0.8313 0.9142 Cu
0.1791 0.7102 0.3031 Ni
0.2646 0.2646 0.5170 Ni
0.2898 0.8209 0.6969 Ni
0.7102 0.1791 0.3031 Ni
0.7354 0.7354 0.4830 Ni
0.8209 0.2898 0.6969 Ni
0.5000 0.5000 0.0000 Rh
```

Output
Its energy above the most stable polymorph in this dataset is 0.70 eV per formula unit. The space group is C2/m, No. 12. As for the energy relative to the elements: 0.1775 eV/atom. The value obtained for the total magnetization is 4.7 μB per cell. As for the energy: -48.63 eV for the cell shown.